Entry 1
## SrZr2 (PBEsol)

Data for a relaxed structure of SrZr2.

Cell and atoms, written as extended XYZ:
```
3
Lattice="5.511 0.000 0.000 -2.756 4.773 0.000 0.000 0.000 2.972" Properties=species:S:1:pos:R:3 pbc="T T T"
Sr 0.000 0.000 0.000
Zr 0.000 3.182 0.831
Zr 2.756 1.591 2.141
```

Magnetization in μB per cell: 0.000
Space group: P-3m1, No. 164
Crystal system: trigonal
N(E_F) in states/eV per atom: 1.45



Entry 2
## SrZr2 (PBEsol)

Data for a relaxed structure of SrZr2.

Cell and atoms, written as extended XYZ:
```
6
Lattice="-2.783 2.783 6.220 2.783 -2.783 6.220 2.783 2.783 -6.220" Properties=species:S:1:pos:R:3 pbc="T T T"
Sr 0.000 0.000 3.110
Sr 0.000 0.000 9.330
Zr 3.738 0.954 0.000
Zr 0.954 1.829 0.000
Zr 1.829 0.954 6.220
Zr -0.954 1.829 6.220
```

Magnetization in μB per cell: 0.000
Space group: I4/mcm, No. 140
Crystal system: tetragonal
N(E_F) in states/eV per atom: 1.66



Stability, descending: entry 2, entry 1